(1)
Below is a relaxed AlRe2SnAu crystal, with properties calculated at the PBE level.

Properties
volume	25.4	Å³ per atom
total DFT energy (no corrections)	-4.971	eV/atom
total magnetic moment	5.08	μB/f.u.
E_form	2.213	eV/atom

abc: 5.0346 5.0346 5.0068
angles: 90.00 90.00 90.00
With the nearest neighbours (Å) after each atom.
Space group P4/mmm (No. 123)
Unique sites:
1 Al 0.0000 0.0000 0.0000 x1  8 Re 3.55, 4 Sn 3.56
2 Re 0.0000 0.5000 0.5000 x2  2 Au 2.52
3 Sn 0.5000 0.5000 0.0000 x1  2 Au 2.50
4 Au 0.5000 0.5000 0.5000 x1  2 Sn 2.50, 4 Re 2.52

(2)
Below is a relaxed SrAlReAu2 crystal, with properties calculated at the PBE level.

Properties
energy above the most stable polymorph in this dataset	0.927	eV/atom
volume	36.9	Å³ per atom
total DFT energy (no corrections)	-2.962	eV/atom
total magnetic moment	4.27	μB/f.u.
E_form	1.923	eV/atom

abc: 5.5581 5.5581 5.9756
angles: 90.00 90.00 90.00
With the nearest neighbours (Å) after each atom.
Space group P4/mmm (No. 123)
Unique sites:
1 Sr 0.0000 0.0000 0.0000 x1  4 Au 2.78, 2 Al 2.99
2 Al 0.0000 0.0000 0.5000 x1  2 Sr 2.99
3 Re 0.5000 0.5000 0.5000 x1  4 Al 3.93, 8 Au 4.08
4 Au 0.0000 0.5000 0.0000 x2  2 Sr 2.78

(3)
Below is a relaxed SrAlReAu2 crystal, with properties calculated at the PBE level.

Properties
energy above the most stable polymorph in this dataset	0.000	eV/atom
volume	28.8	Å³ per atom
total DFT energy (no corrections)	-3.889	eV/atom
total magnetic moment	0.00	μB/f.u.
E_form	0.997	eV/atom

abc: 5.0894 5.0894 5.5616
angles: 90.00 90.00 90.00
With the nearest neighbours (Å) after each atom.
Space group P4/mmm (No. 123)
Unique sites:
1 Sr 0.0000 0.0000 0.0000 x1  2 Re 2.78
2 Al 0.5000 0.5000 0.0000 x1  4 Sr 3.60, 8 Au 3.77
3 Re 0.0000 0.0000 0.5000 x1  4 Au 2.54, 2 Sr 2.78
4 Au 0.0000 0.5000 0.5000 x2  2 Re 2.54

(4)
Below is a relaxed Ti2AlReAu crystal, with properties calculated at the PBE level.

Properties
volume	18.7	Å³ per atom
total DFT energy (no corrections)	-5.908	eV/atom
total magnetic moment	0.00	μB/f.u.
E_form	1.144	eV/atom

abc: 4.6086 4.6086 4.4127
angles: 90.00 90.00 90.00
With the nearest neighbours (Å) after each atom.
Space group P4/mmm (No. 123)
Unique sites:
1 Ti 0.0000 0.5000 0.0000 x2  2 Al 2.30
2 Al 0.0000 0.0000 0.0000 x1  2 Au 2.21, 4 Ti 2.30
3 Re 0.5000 0.5000 0.5000 x1  8 Ti 3.19, 4 Au 3.26
4 Au 0.0000 0.0000 0.5000 x1  2 Al 2.21

(5)
Below is a relaxed Y2AlReAu crystal, with properties calculated at the PBE level.

Properties
volume	27.0	Å³ per atom
total DFT energy (no corrections)	-6.300	eV/atom
total magnetic moment	0.00	μB/f.u.
E_form	0.179	eV/atom

abc: 5.3035 5.3035 4.8065
angles: 90.00 90.00 90.00
With the nearest neighbours (Å) after each atom.
Space group P4/mmm (No. 123)
Unique sites:
1 Y 0.0000 0.5000 0.0000 x2  2 Re 2.65
2 Al 0.0000 0.0000 0.5000 x1  2 Re 2.40
3 Re 0.0000 0.0000 0.0000 x1  2 Al 2.40, 4 Y 2.65
4 Au 0.5000 0.5000 0.5000 x1  8 Y 3.58, 4 Al 3.75

(6)
Below is a relaxed Al4Rh5Au crystal, with properties calculated at the PBE level.

Properties
volume	14.1	Å³ per atom
total DFT energy (no corrections)	-6.370	eV/atom
total magnetic moment	0.00	μB/f.u.
E_form	-0.870	eV/atom

abc: 2.9945 2.9945 15.7189
angles: 90.00 90.00 90.00
With the nearest neighbours (Å) after each atom.
Space group P4/mmm (No. 123)
Unique sites:
1 Al 0.0000 0.0000 0.0968 x2  8 Rh 2.57-2.61
2 Al 0.0000 0.0000 0.2909 x2  8 Rh 2.52-2.65
3 Rh 0.5000 0.5000 0.0000 x1  8 Al 2.61
4 Rh 0.5000 0.5000 0.1896 x2  8 Al 2.57-2.65
5 Rh 0.5000 0.5000 0.3775 x2  4 Al 2.52
6 Au 0.0000 0.0000 0.5000 x1  8 Rh 2.86, 4 Au 2.99

(7)
Below is a relaxed Al2RhAu2 crystal, with properties calculated at the PBE level.

Properties
energy above the most stable polymorph in this dataset	0.069	eV/atom
volume	16.2	Å³ per atom
total DFT energy (no corrections)	-4.559	eV/atom
total magnetic moment	0.00	μB/f.u.
E_form	-0.281	eV/atom

abc: 7.3349 7.3349 3.0124
angles: 90.00 90.00 90.00
With the nearest neighbours (Å) after each atom.
Space group P4/mbm (No. 127)
Unique sites:
1 Al 0.1690 0.3310 0.0000 x4  6 Au 2.53-2.70
2 Rh 0.0000 0.0000 0.5000 x2  4 Au 2.86, 2 Rh 3.01, 8 Al 3.11
3 Au 0.1347 0.6347 0.5000 x4  6 Al 2.53-2.70, 1 Au 2.79

(8)
Below is a relaxed AlRh2Au2 crystal, with properties calculated at the PBE level.

Properties
volume	16.8	Å³ per atom
total DFT energy (no corrections)	-5.129	eV/atom
total magnetic moment	0.39	μB/f.u.
E_form	-0.129	eV/atom

abc: 6.3457 6.3457 4.1759
angles: 90.00 90.00 90.00
With the nearest neighbours (Å) after each atom.
Space group P4/mbm (No. 127)
Unique sites:
1 Al 0.0000 0.0000 0.0000 x2  4 Rh 2.44
2 Rh 0.1418 0.3582 0.0000 x4  2 Al 2.44, 1 Rh 2.55, 2 Au 2.71
3 Au 0.1658 0.6658 0.5000 x4  6 Rh 2.71-2.86, 1 Au 2.98

(9)
Below is a relaxed AlRhAu3 crystal, with properties calculated at the PBE level.

Properties
energy above the most stable polymorph in this dataset	0.208	eV/atom
volume	25.6	Å³ per atom
total DFT energy (no corrections)	-3.307	eV/atom
total magnetic moment	0.93	μB/f.u.
E_form	0.878	eV/atom

abc: 5.0372 5.0372 5.0372
angles: 90.00 90.00 90.00
With the nearest neighbours (Å) after each atom.
Space group Pm-3m (No. 221)
Unique sites:
1 Al 0.0000 0.0000 0.0000 x1  12 Au 3.56
2 Rh 0.5000 0.5000 0.5000 x1  6 Au 2.52
3 Au 0.0000 0.5000 0.5000 x3  2 Rh 2.52

(10)
Below is a relaxed Al4Rh3Au crystal, with properties calculated at the PBE level.

Properties
volume	14.3	Å³ per atom
total DFT energy (no corrections)	-5.920	eV/atom
total magnetic moment	0.00	μB/f.u.
E_form	-0.882	eV/atom

abc: 2.9961 2.9961 12.7368
angles: 90.00 90.00 90.00
With the nearest neighbours (Å) after each atom.
Space group P4/mmm (No. 123)
Unique sites:
1 Al 0.0000 0.0000 0.1194 x2  8 Rh 2.61
2 Al 0.0000 0.0000 0.3568 x2  4 Rh 2.59, 4 Au 2.80
3 Rh 0.5000 0.5000 0.0000 x1  8 Al 2.61
4 Rh 0.5000 0.5000 0.2396 x2  8 Al 2.59-2.61
5 Au 0.5000 0.5000 0.5000 x1  8 Al 2.80, 4 Au 3.00

Which value of E_form does entry 9 give? 0.878 eV/atom

What is the total DFT energy (no corrections) in the tenth record? -5.920 eV/atom